1.
VASP calculation (PBE-GGA) on a geometry-optimized Rb8SeI4Br3 structure.

a = 10.3585 Å, b = 10.3585 Å, c = 24.6477 Å
α = 90.00°, β = 90.00°, γ = 120.00°
Space group R-3m (No. 166, hexagonal axes)
Unique sites:
Rb 0.0000 0.0000 0.2447 [6 per cell]
Rb 0.0047 0.5023 0.7563 [18 per cell]
Se 0.0000 0.0000 0.5000 [3 per cell]
I 0.0000 0.0000 0.0000 [3 per cell]
I 0.0000 0.5000 0.0000 [9 per cell]
Br 0.0000 0.5000 0.5000 [9 per cell]

Summary:
- Spin magnetization: 3.0 μB/cell
- Total DFT energy (no corrections): -2.855 eV/atom
- DOS(E_F): 0.27 states/eV per atom
- E_form (uncorrected): -1.452 eV/atom
- Calculated volume: 763.4 Å³/f.u.

=====

2.
VASP calculation (PBE-GGA) on a geometry-optimized AcPr2Sm4Dy structure.

a = 13.965 Å, b = 13.612 Å, c = 7.028 Å
α = 90.00°, β = 120.14°, γ = 90.00°
Space group C2/c (No. 15)
Unique sites:
Ac 0.250 0.250 0.000 [4 per cell]
Pr 0.000 0.000 0.000 [4 per cell]
Pr 0.250 0.250 0.500 [4 per cell]
Sm 0.000 0.256 0.014 [8 per cell]
Sm 0.244 0.493 0.486 [8 per cell]
Dy 0.000 0.500 0.000 [4 per cell]

Summary:
- Spin magnetization: 0.0 μB/cell
- Total DFT energy (no corrections): -4.254 eV/atom
- DOS(E_F): 2.33 states/eV per atom
- Calculated volume: 288.9 Å³/f.u.
- Energy of formation: 0.39 eV/atom

=====

3.
VASP calculation (PBE-GGA) on a geometry-optimized PmPuZnAs structure.

a = 7.201 Å, b = 7.201 Å, c = 7.201 Å
α = 90.00°, β = 90.00°, γ = 90.00°
Space group F-43m (No. 216)
Unique sites:
Pm 0.000 0.000 0.000 [4 per cell]
Pu 0.000 0.000 0.500 [4 per cell]
Zn 0.250 0.250 0.750 [4 per cell]
As 0.250 0.250 0.250 [4 per cell]

Summary:
- Spin magnetization: 25.5 μB/cell
- Total DFT energy (no corrections): -6.761 eV/atom
- DOS(E_F): 2.60 states/eV per atom
- Calculated volume: 93.3 Å³/f.u.
- Energy of formation: -0.51 eV/atom

=====

4.
VASP calculation (PBE-GGA) on a geometry-optimized Tb5TeS4 structure.

a = 13.414 Å, b = 3.992 Å, c = 9.883 Å
α = 90.00°, β = 119.82°, γ = 90.00°
Space group C2/m (No. 12)
Unique sites:
Tb 0.000 0.000 0.000 [2 per cell]
Tb 0.115 0.500 0.386 [4 per cell]
Tb 0.212 0.000 0.820 [4 per cell]
Te 0.000 0.000 0.500 [2 per cell]
S 0.093 0.500 0.893 [4 per cell]
S 0.206 0.000 0.292 [4 per cell]

Summary:
- Spin magnetization: 0.0 μB/cell
- Total DFT energy (no corrections): -6.118 eV/atom
- DOS(E_F): 0.49 states/eV per atom
- E_form (uncorrected): -1.837 eV/atom
- Calculated volume: 229.6 Å³/f.u.